[1]
## FeNi6Pt12 (PBE)

Data for FeNi6Pt12 after structural relaxation.

Properties
symmetry	R-3, No. 148
calculated formation energy	-9	kJ/mol of atoms
theoretical density	16.92	Mg/m³

Cell: 6.6709 7.1869 7.1869 Å, 69.12 71.98 108.02°
Each line ends with the local moment (μB).
Sites, in units of the cell vectors:
Fe  0.0000  0.0000  0.0000  3.12
Ni  0.4214  0.4682  0.2132  0.76
Ni  0.0468  0.6814  0.5318  0.76
Ni  0.3654  0.7868  0.6814  0.76
Ni  0.5786  0.5318  0.7868  0.76
Ni  0.9532  0.3186  0.4682  0.76
Ni  0.6346  0.2132  0.3186  0.76
Pt  0.5255  0.8461  0.2679  0.24
Pt  0.6794  0.8860  0.8461  0.24
Pt  0.7934  0.2679  0.8860  0.24
Pt  0.4745  0.1539  0.7321  0.24
Pt  0.3206  0.1140  0.1539  0.24
Pt  0.2066  0.7321  0.1140  0.24
Pt  0.2617  0.4247  0.6286  0.28
Pt  0.1097  0.3714  0.0533  0.28
Pt  0.1630  0.0533  0.5753  0.28
Pt  0.7383  0.5753  0.3714  0.28
Pt  0.8903  0.6286  0.9467  0.28
Pt  0.8370  0.9467  0.4247  0.28

=====

[2]
## FeNi6Pt (PBE)

Data for FeNi6Pt after structural relaxation.

Properties
symmetry	Cmmm, No. 65
calculated formation energy	-7	kJ/mol of atoms
theoretical density	10.71	Mg/m³

Cell: 6.2361 6.2361 10.2133 Å, 90.00 90.00 109.63°
Each line ends with the local moment (μB).
Sites, in units of the cell vectors:
Fe  0.2509  0.7491  0.7500  2.92
Fe  0.7491  0.2509  0.7500  2.92
Fe  0.5000  0.5000  0.5030  2.94
Fe  0.5000  0.5000  0.9970  2.94
Ni  0.2535  0.7465  0.5067  0.69
Ni  0.8725  0.6192  0.6289  0.69
Ni  0.1275  0.3808  0.6289  0.69
Ni  0.7465  0.2535  0.5067  0.69
Ni  0.3808  0.1275  0.6289  0.69
Ni  0.6192  0.8725  0.6289  0.69
Ni  0.5000  0.5000  0.2500  0.70
Ni  0.1314  0.3783  0.3795  0.71
Ni  0.3783  0.1314  0.3795  0.71
Ni  0.2535  0.7465  0.9933  0.69
Ni  0.8686  0.6217  0.1205  0.71
Ni  0.1314  0.3783  0.1205  0.71
Ni  0.7465  0.2535  0.9933  0.69
Ni  0.3783  0.1314  0.1205  0.71
Ni  0.6217  0.8686  0.1205  0.71
Ni  0.5000  0.5000  0.7500  0.68
Ni  0.1275  0.3808  0.8711  0.69
Ni  0.3808  0.1275  0.8711  0.69
Ni  0.0000  0.0000  0.2500  0.72
Ni  0.6217  0.8686  0.3795  0.71
Ni  0.8686  0.6217  0.3795  0.71
Ni  0.0000  0.0000  0.7500  0.69
Ni  0.6192  0.8725  0.8711  0.69
Ni  0.8725  0.6192  0.8711  0.69
Pt  0.2506  0.7494  0.2500  0.31
Pt  0.7494  0.2506  0.2500  0.31
Pt  0.0000  0.0000  0.5014  0.30
Pt  0.0000  0.0000  0.9986  0.30

=====

[3]
## Fe3Ni2Pt (PBE)

Data for Fe3Ni2Pt after structural relaxation.

Properties
symmetry	Cmcm, No. 63
calculated formation energy	9	kJ/mol of atoms
theoretical density	10.27	Mg/m³

Cell: 4.9940 6.8666 6.8666 Å, 138.77 90.00 90.00°
Each line ends with the local moment (μB).
Sites, in units of the cell vectors:
Fe  0.7500  0.6614  0.2916  2.89
Fe  0.7500  0.2916  0.6614  2.89
Fe  0.2500  0.3386  0.7084  2.89
Fe  0.7500  0.1981  0.1981  2.88
Fe  0.2500  0.8019  0.8019  2.88
Fe  0.2500  0.7084  0.3386  2.89
Ni  0.5000  0.8503  0.1497  0.75
Ni  0.0000  0.8503  0.1497  0.75
Ni  0.0000  0.1497  0.8503  0.75
Ni  0.5000  0.1497  0.8503  0.75
Pt  0.2500  0.3057  0.3057  0.43
Pt  0.7500  0.6943  0.6943  0.43

=====

[4]
## Fe4Ni2Pt5 (PBE)

Data for Fe4Ni2Pt5 after structural relaxation.

Properties
symmetry	Pbam, No. 55
calculated formation energy	-9	kJ/mol of atoms
theoretical density	14.28	Mg/m³

Cell: 3.8932 5.8245 13.4960 Å, 90.00 90.00 90.00°
Each line ends with the local moment (μB).
Sites, in units of the cell vectors:
Fe  0.5000  0.2998  0.5465  2.97
Fe  0.5000  0.7002  0.4535  2.97
Fe  0.5000  0.7998  0.9535  2.97
Fe  0.5000  0.2002  0.0465  2.97
Fe  0.5000  0.3927  0.8722  3.02
Fe  0.5000  0.6073  0.1278  3.02
Fe  0.5000  0.8927  0.6278  3.02
Fe  0.5000  0.1073  0.3722  3.02
Ni  0.5000  0.5029  0.2936  0.81
Ni  0.5000  0.4971  0.7064  0.81
Ni  0.5000  0.0029  0.2064  0.81
Ni  0.5000  0.9971  0.7936  0.81
Pt  0.0000  0.5000  0.0000  0.38
Pt  0.0000  0.0000  0.5000  0.38
Pt  0.0000  0.3170  0.1952  0.34
Pt  0.0000  0.6830  0.8048  0.34
Pt  0.0000  0.8170  0.3048  0.34
Pt  0.0000  0.1830  0.6952  0.34
Pt  0.0000  0.4069  0.4058  0.38
Pt  0.0000  0.5931  0.5942  0.38
Pt  0.0000  0.9069  0.0942  0.38
Pt  0.0000  0.0931  0.9058  0.38

=====

[5]
## FeNi6Pt3 (PBE)

Data for FeNi6Pt3 after structural relaxation.

Properties
symmetry	P2_1/m, No. 11
calculated formation energy	7	kJ/mol of atoms
theoretical density	12.40	Mg/m³

Cell: 3.6737 8.1333 9.9513 Å, 116.56 90.00 90.00°
Each line ends with the local moment (μB).
Sites, in units of the cell vectors:
Fe  0.7500  0.0426  0.6972  2.92
Fe  0.2500  0.9574  0.3028  2.92
Ni  0.7500  0.4355  0.6493  0.76
Ni  0.2500  0.5645  0.3507  0.76
Ni  0.7500  0.1114  0.2368  0.67
Ni  0.2500  0.8886  0.7632  0.67
Ni  0.7500  0.4370  0.1695  0.79
Ni  0.2500  0.5630  0.8305  0.79
Ni  0.7500  0.7649  0.3228  0.69
Ni  0.2500  0.2351  0.6772  0.69
Ni  0.7500  0.1039  0.4813  0.69
Ni  0.2500  0.8961  0.5187  0.69
Ni  0.7500  0.7487  0.8380  0.73
Ni  0.2500  0.2513  0.1620  0.73
Pt  0.7500  0.3870  0.8901  0.36
Pt  0.2500  0.6130  0.1099  0.36
Pt  0.7500  0.6813  0.5550  0.33
Pt  0.2500  0.3187  0.4450  0.33
Pt  0.7500  0.1024  0.9652  0.34
Pt  0.2500  0.8976  0.0348  0.34

=====

[6]
## Fe2Ni5Pt2 (PBE)

Data for Fe2Ni5Pt2 after structural relaxation.

Properties
symmetry	P-1, No. 2
calculated formation energy	-6	kJ/mol of atoms
theoretical density	11.85	Mg/m³

Cell: 2.6316 7.5440 6.7939 Å, 117.89 101.06 100.02°
Each line ends with the local moment (μB).
Sites, in units of the cell vectors:
Fe  0.8132  0.3290  0.3013  2.83
Fe  0.1868  0.6710  0.6987  2.83
Ni  0.6824  0.0179  0.3469  0.72
Ni  0.3176  0.9821  0.6531  0.72
Ni  0.4797  0.3404  0.6222  0.70
Ni  0.5203  0.6596  0.3778  0.70
Ni  0.0000  0.0000  0.0000  0.71
Pt  0.1323  0.3165  0.9516  0.27
Pt  0.8677  0.6835  0.0484  0.27

=====

[7]
## FeNiPt (PBE)

Data for FeNiPt after structural relaxation.

Properties
symmetry	Immm, No. 71
calculated formation energy	86	kJ/mol of atoms
theoretical density	9.84	Mg/m³

Cell: 4.0832 4.0832 4.0832 Å, 113.05 107.51 107.91°
Each line ends with the local moment (μB).
Sites, in units of the cell vectors:
Fe  0.5000  0.0000  0.5000  3.13
Ni  0.5000  0.5000  0.0000  0.83
Pt  0.0000  0.0000  0.0000  0.38

=====

[8]
## FeNiPt (PBE)

Data for FeNiPt after structural relaxation.

Properties
symmetry	P3m1, No. 156
calculated formation energy	-6	kJ/mol of atoms
theoretical density	12.98	Mg/m³

Cell: 2.6826 2.6826 6.3559 Å, 90.00 90.00 120.00°
Each line ends with the local moment (μB).
Sites, in units of the cell vectors:
Fe  0.0000  0.0000  0.0130  2.87
Ni  0.6667  0.3333  0.3189  0.77
Pt  0.3333  0.6667  0.6681  0.26

=====

[9]
## FeNi6Pt (PBE)

Data for FeNi6Pt after structural relaxation.

Properties
symmetry	P4/mmm, No. 123
calculated formation energy	-6	kJ/mol of atoms
theoretical density	10.69	Mg/m³

Cell: 3.5700 5.1234 5.1234 Å, 90.00 90.00 90.00°
Each line ends with the local moment (μB).
Sites, in units of the cell vectors:
Fe  0.5000  0.0000  0.0000  2.94
Ni  0.0000  0.7571  0.2429  0.75
Ni  0.0000  0.2429  0.7571  0.75
Ni  0.0000  0.7572  0.7572  0.75
Ni  0.0000  0.2428  0.2428  0.75
Ni  0.5000  0.5000  0.0000  0.74
Ni  0.5000  0.0000  0.5000  0.74
Pt  0.5000  0.5000  0.5000  0.33

=====

[10]
## FeNi12Pt3 (PBE)

Data for FeNi12Pt3 after structural relaxation.

Properties
symmetry	P4/mmm, No. 123
calculated formation energy	-6	kJ/mol of atoms
theoretical density	11.72	Mg/m³

Cell: 3.6249 3.6249 14.5123 Å, 90.00 90.00 90.00°
Each line ends with the local moment (μB).
Sites, in units of the cell vectors:
Fe  0.0000  0.0000  0.0000  2.90
Ni  0.5000  0.5000  0.0000  0.72
Ni  0.5000  0.5000  0.2446  -0.10
Ni  0.5000  0.5000  0.5000  -0.80
Ni  0.5000  0.5000  0.7554  -0.10
Ni  0.5000  0.0000  0.1171  0.59
Ni  0.5000  0.0000  0.3733  -0.69
Ni  0.5000  0.0000  0.6267  -0.69
Ni  0.5000  0.0000  0.8829  0.59
Ni  0.0000  0.5000  0.1171  0.59
Ni  0.0000  0.5000  0.3733  -0.69
Ni  0.0000  0.5000  0.6267  -0.69
Ni  0.0000  0.5000  0.8829  0.59
Pt  0.0000  0.0000  0.2464  -0.10
Pt  0.0000  0.0000  0.5000  -0.35
Pt  0.0000  0.0000  0.7536  -0.10

=====

[11]
## FeNi4Pt3 (PBE)

Data for FeNi4Pt3 after structural relaxation.

Properties
symmetry	Immm, No. 71
calculated formation energy	-13	kJ/mol of atoms
theoretical density	13.96	Mg/m³

Cell: 3.6672 3.8009 7.9295 Å, 103.86 103.37 90.00°
Each line ends with the local moment (μB).
Sites, in units of the cell vectors:
Ni  0.7525  0.2526  0.5050  0.73
Ni  0.2475  0.7474  0.4950  0.73
Ni  0.3717  0.3723  0.7434  0.80
Ni  0.6283  0.6277  0.2566  0.80
Fe  0.5000  0.0000  0.0000  3.12
Pt  0.0000  0.5000  0.0000  0.41
Pt  0.8695  0.8699  0.7390  0.38
Pt  0.1305  0.1301  0.2610  0.38

=====

[12]
## Fe8NiPt6 (PBE)

Data for Fe8NiPt6 after structural relaxation.

Properties
symmetry	R-3, No. 148
calculated formation energy	14	kJ/mol of atoms
theoretical density	11.81	Mg/m³

Cell: 6.6581 6.6581 6.6581 Å, 65.95 65.95 65.95°
Each line ends with the local moment (μB).
Sites, in units of the cell vectors:
Fe  0.2078  0.5537  0.8801  3.11
Fe  0.1199  0.7922  0.4463  3.11
Fe  0.4463  0.1199  0.7922  3.11
Fe  0.6636  0.6636  0.6636  3.05
Fe  0.3364  0.3364  0.3364  3.05
Fe  0.5537  0.8801  0.2078  3.11
Fe  0.8801  0.2078  0.5537  3.11
Fe  0.7922  0.4463  0.1199  3.11
Ni  0.0000  0.0000  0.0000  0.43
Pt  0.0508  0.3910  0.7183  0.44
Pt  0.2817  0.9492  0.6090  0.44
Pt  0.6090  0.2817  0.9492  0.44
Pt  0.3910  0.7183  0.0508  0.44
Pt  0.7183  0.0508  0.3910  0.44
Pt  0.9492  0.6090  0.2817  0.44

=====

Question: What is the formula in the eighth record?
Answer: FeNiPt